i | Material: LaIrAu
Method: DFT, meta-GGA SCAN
State: single point on PBEsol structure Values from VASP.

Magnetic moment, μB/atom: 0.000

```
&SYSTEM
  ibrav = 0, nat = 3, ntyp = 3
/
ATOMIC_SPECIES
La 138.91 La.upf
Ir 192.22 Ir.upf
Au 196.97 Au.upf
ATOMIC_POSITIONS crystal
La 0.000 0.000 0.000
Ir 0.500 0.500 0.500
Au 0.250 0.250 0.250
CELL_PARAMETERS angstrom
0.000 3.291 3.291
3.291 0.000 3.291
3.291 3.291 0.000
```



ii | Material: LaIrAu
Method: DFT, meta-GGA SCAN
State: single point on PBEsol structure Values from VASP.

Magnetic moment, μB/atom: 0.000

```
&SYSTEM
  ibrav = 0, nat = 3, ntyp = 3
/
ATOMIC_SPECIES
La 138.91 La.upf
Ir 192.22 Ir.upf
Au 196.97 Au.upf
ATOMIC_POSITIONS crystal
La 0.000 0.000 0.000
Ir 0.328 0.328 0.000
Au 0.692 0.692 0.000
CELL_PARAMETERS angstrom
-1.614 1.983 4.800
1.614 -1.983 4.800
1.614 1.983 -4.800
```



Verdict on stability: i comes out at the bottom.



i | Material: NiIr2Au
Method: DFT, meta-GGA SCAN
State: single point on PBEsol structure Values from VASP.

Magnetic moment, μB/atom: 0.198

```
&SYSTEM
  ibrav = 0, nat = 4, ntyp = 3
/
ATOMIC_SPECIES
Ni 58.69 Ni.upf
Ir 192.22 Ir.upf
Au 196.97 Au.upf
ATOMIC_POSITIONS crystal
Ni 0.000 0.000 0.000
Ir 0.250 0.750 0.500
Ir 0.500 0.500 0.000
Au 0.750 0.250 0.500
CELL_PARAMETERS angstrom
-1.910 1.910 3.802
1.910 -1.910 3.802
1.910 1.910 -3.802
```



ii | Material: NiIr2Au
Method: DFT, meta-GGA SCAN
State: single point on PBEsol structure Values from VASP.

Magnetic moment, μB/atom: 0.001

```
&SYSTEM
  ibrav = 0, nat = 4, ntyp = 3
/
ATOMIC_SPECIES
Ni 58.69 Ni.upf
Ir 192.22 Ir.upf
Au 196.97 Au.upf
ATOMIC_POSITIONS crystal
Ni 0.000 0.000 0.000
Ir 0.500 0.500 0.228
Ir 0.500 0.500 0.772
Au 0.000 0.000 0.500
CELL_PARAMETERS angstrom
2.714 0.000 0.000
0.000 3.688 0.000
0.000 0.000 5.568
```



Verdict on stability: ii comes out at the bottom.



i | Material: NiIrAu2
Method: DFT, meta-GGA SCAN
State: single point on PBEsol structure Values from VASP.

Magnetic moment, μB/atom: 0.440

```
&SYSTEM
  ibrav = 0, nat = 4, ntyp = 3
/
ATOMIC_SPECIES
Ni 58.69 Ni.upf
Ir 192.22 Ir.upf
Au 196.97 Au.upf
ATOMIC_POSITIONS crystal
Ni 0.000 0.000 0.000
Ir 0.250 0.750 0.500
Au 0.500 0.500 0.000
Au 0.750 0.250 0.500
CELL_PARAMETERS angstrom
-1.948 1.948 3.871
1.948 -1.948 3.871
1.948 1.948 -3.871
```



ii | Material: NiIrAu2
Method: DFT, meta-GGA SCAN
State: single point on PBEsol structure Values from VASP.

Magnetic moment, μB/atom: 0.273

```
&SYSTEM
  ibrav = 0, nat = 4, ntyp = 3
/
ATOMIC_SPECIES
Ni 58.69 Ni.upf
Ir 192.22 Ir.upf
Au 196.97 Au.upf
ATOMIC_POSITIONS crystal
Ni 0.000 0.000 0.000
Ir 0.500 0.500 0.000
Au 0.000 0.500 0.500
Au 0.500 0.000 0.500
CELL_PARAMETERS angstrom
4.630 0.000 0.000
0.000 4.630 0.000
0.000 0.000 2.767
```



Verdict on stability: i comes out at the bottom.



i | Material: IrPt2Au
Method: DFT, meta-GGA SCAN
State: single point on PBEsol structure Values from VASP.

Magnetic moment, μB/atom: 0.000

```
&SYSTEM
  ibrav = 0, nat = 4, ntyp = 3
/
ATOMIC_SPECIES
Ir 192.22 Ir.upf
Pt 195.08 Pt.upf
Au 196.97 Au.upf
ATOMIC_POSITIONS crystal
Ir 0.000 0.000 0.000
Pt 0.493 0.493 0.486
Pt 0.743 0.743 0.230
Au 0.249 0.249 0.736
CELL_PARAMETERS angstrom
4.591 -1.386 0.000
4.591 1.386 0.000
-0.854 0.000 4.776
```



ii | Material: IrPt2Au
Method: DFT, meta-GGA SCAN
State: single point on PBEsol structure Values from VASP.

Magnetic moment, μB/atom: 0.000

```
&SYSTEM
  ibrav = 0, nat = 4, ntyp = 3
/
ATOMIC_SPECIES
Ir 192.22 Ir.upf
Pt 195.08 Pt.upf
Au 196.97 Au.upf
ATOMIC_POSITIONS crystal
Ir 0.000 0.000 0.000
Pt 0.253 0.253 0.253
Pt 0.747 0.747 0.747
Au 0.500 0.500 0.500
CELL_PARAMETERS angstrom
1.384 0.799 9.156
-1.384 0.799 9.156
0.000 -1.598 9.156
```



Verdict on stability: i comes out at the bottom.



i | Material: ReIr2Au
Method: DFT, meta-GGA SCAN
State: single point on PBEsol structure Values from VASP.

Magnetic moment, μB/atom: 0.000

```
&SYSTEM
  ibrav = 0, nat = 4, ntyp = 3
/
ATOMIC_SPECIES
Re 186.21 Re.upf
Ir 192.22 Ir.upf
Au 196.97 Au.upf
ATOMIC_POSITIONS crystal
Re 0.000 0.000 0.000
Ir 0.000 0.500 0.500
Ir 0.500 0.000 0.500
Au 0.500 0.500 0.000
CELL_PARAMETERS angstrom
4.698 0.000 0.000
0.000 4.698 0.000
0.000 0.000 2.738
```



ii | Material: ReIr2Au
Method: DFT, meta-GGA SCAN
State: single point on PBEsol structure Values from VASP.

Magnetic moment, μB/atom: 0.000

```
&SYSTEM
  ibrav = 0, nat = 4, ntyp = 3
/
ATOMIC_SPECIES
Re 186.21 Re.upf
Ir 192.22 Ir.upf
Au 196.97 Au.upf
ATOMIC_POSITIONS crystal
Re 0.000 0.000 0.000
Ir 0.000 0.500 0.500
Ir 0.500 0.000 0.500
Au 0.500 0.500 0.000
CELL_PARAMETERS angstrom
3.927 0.000 0.000
0.000 3.927 0.000
0.000 0.000 3.829
```



Verdict on stability: i comes out at the bottom.



i | Material: Re2IrAu
Method: DFT, meta-GGA SCAN
State: single point on PBEsol structure Values from VASP.

Magnetic moment, μB/atom: 0.464

```
&SYSTEM
  ibrav = 0, nat = 4, ntyp = 3
/
ATOMIC_SPECIES
Re 186.21 Re.upf
Ir 192.22 Ir.upf
Au 196.97 Au.upf
ATOMIC_POSITIONS crystal
Re 0.250 0.250 0.250
Re 0.750 0.750 0.750
Ir 0.000 0.000 0.000
Au 0.500 0.500 0.500
CELL_PARAMETERS angstrom
0.000 3.118 3.118
3.118 0.000 3.118
3.118 3.118 0.000
```



ii | Material: Re2IrAu
Method: DFT, meta-GGA SCAN
State: single point on PBEsol structure Values from VASP.

Magnetic moment, μB/atom: 0.000

```
&SYSTEM
  ibrav = 0, nat = 4, ntyp = 3
/
ATOMIC_SPECIES
Re 186.21 Re.upf
Ir 192.22 Ir.upf
Au 196.97 Au.upf
ATOMIC_POSITIONS crystal
Re 0.000 0.500 0.000
Re 0.500 0.000 0.000
Ir 0.000 0.000 0.500
Au 0.500 0.500 0.500
CELL_PARAMETERS angstrom
3.837 0.000 0.000
0.000 3.837 0.000
0.000 0.000 4.016
```



Verdict on stability: i comes out at the bottom.



i | Material: IrRh2Au
Method: DFT, meta-GGA SCAN
State: single point on PBEsol structure Values from VASP.

Magnetic moment, μB/atom: 0.000

```
&SYSTEM
  ibrav = 0, nat = 4, ntyp = 3
/
ATOMIC_SPECIES
Ir 192.22 Ir.upf
Rh 102.91 Rh.upf
Au 196.97 Au.upf
ATOMIC_POSITIONS crystal
Ir 0.000 0.000 0.000
Rh 0.488 0.488 0.477
Rh 0.742 0.742 0.227
Au 0.244 0.244 0.730
CELL_PARAMETERS angstrom
4.514 -1.372 0.000
4.514 1.372 0.000
-0.849 0.000 4.657
```



ii | Material: IrRh2Au
Method: DFT, meta-GGA SCAN
State: single point on PBEsol structure Values from VASP.

Magnetic moment, μB/atom: 0.000

```
&SYSTEM
  ibrav = 0, nat = 4, ntyp = 3
/
ATOMIC_SPECIES
Ir 192.22 Ir.upf
Rh 102.91 Rh.upf
Au 196.97 Au.upf
ATOMIC_POSITIONS crystal
Ir 0.000 0.000 0.000
Rh 0.500 0.500 0.233
Rh 0.500 0.500 0.767
Au 0.000 0.000 0.500
CELL_PARAMETERS angstrom
2.729 0.000 0.000
0.000 2.729 0.000
0.000 0.000 7.766
```



iii | Material: IrRh2Au
Method: DFT, meta-GGA SCAN
State: single point on PBEsol structure Values from VASP.

Magnetic moment, μB/atom: 0.528

```
&SYSTEM
  ibrav = 0, nat = 4, ntyp = 3
/
ATOMIC_SPECIES
Ir 192.22 Ir.upf
Rh 102.91 Rh.upf
Au 196.97 Au.upf
ATOMIC_POSITIONS crystal
Ir 0.000 0.000 0.000
Rh 0.250 0.250 0.250
Rh 0.750 0.750 0.750
Au 0.500 0.500 0.500
CELL_PARAMETERS angstrom
0.000 3.088 3.088
3.088 0.000 3.088
3.088 3.088 0.000
```



Verdict on stability: iii comes out at the bottom.



i | Material: Ir2RhAu
Method: DFT, meta-GGA SCAN
State: single point on PBEsol structure Values from VASP.

Magnetic moment, μB/atom: 0.000

```
&SYSTEM
  ibrav = 0, nat = 4, ntyp = 3
/
ATOMIC_SPECIES
Ir 192.22 Ir.upf
Rh 102.91 Rh.upf
Au 196.97 Au.upf
ATOMIC_POSITIONS crystal
Ir 0.000 0.000 0.000
Ir 0.750 0.250 0.500
Rh 0.500 0.500 0.000
Au 0.250 0.750 0.500
CELL_PARAMETERS angstrom
-1.938 1.938 3.865
1.938 -1.938 3.865
1.938 1.938 -3.865
```



ii | Material: Ir2RhAu
Method: DFT, meta-GGA SCAN
State: single point on PBEsol structure Values from VASP.

Magnetic moment, μB/atom: 0.000

```
&SYSTEM
  ibrav = 0, nat = 4, ntyp = 3
/
ATOMIC_SPECIES
Ir 192.22 Ir.upf
Rh 102.91 Rh.upf
Au 196.97 Au.upf
ATOMIC_POSITIONS crystal
Ir 0.233 0.233 0.000
Ir 0.767 0.767 0.000
Rh 0.000 0.500 0.500
Au 0.500 0.000 0.500
CELL_PARAMETERS angstrom
-1.350 2.312 4.775
1.350 -2.312 4.775
1.350 2.312 -4.775
```



iii | Material: Ir2RhAu
Method: DFT, meta-GGA SCAN
State: single point on PBEsol structure Values from VASP.

Magnetic moment, μB/atom: 0.000

```
&SYSTEM
  ibrav = 0, nat = 4, ntyp = 3
/
ATOMIC_SPECIES
Ir 192.22 Ir.upf
Rh 102.91 Rh.upf
Au 196.97 Au.upf
ATOMIC_POSITIONS crystal
Ir 0.000 0.000 0.000
Ir 0.254 0.254 0.254
Rh 0.746 0.746 0.746
Au 0.499 0.499 0.499
CELL_PARAMETERS angstrom
1.369 0.791 8.984
-1.369 0.791 8.984
0.000 -1.581 8.984
```



Verdict on stability: ii comes out at the bottom.